1.
Material: YTa2Fe
Method: DFT, SCAN
State: single point on PBEsol structure

- V: 74.91 Å³/cell

a b c (Å): 3.0752 3.9605 6.2511
angles (deg): 90.00 100.30 90.00
Space group Pm (No. 6)
One atom of each set of equivalent atoms:
Y 0.0000 0.0000 0.0000 (multiplicity 1)
Ta 0.3708 0.5000 0.6669 (multiplicity 1)
Ta 0.8349 0.0000 0.4547 (multiplicity 1)
Fe 0.4839 0.5000 0.2870 (multiplicity 1)

---

2.
Material: Y2TaFe
Method: DFT, SCAN
State: single point on PBEsol structure

- V: 84.81 Å³/cell

a b c (Å): 3.1741 3.1741 8.4179
angles (deg): 90.00 90.00 90.00
Space group P4mm (No. 99)
One atom of each set of equivalent atoms:
Y 0.0000 0.0000 0.0000 (multiplicity 1)
Y 0.5000 0.5000 0.3644 (multiplicity 1)
Ta 0.5000 0.5000 0.7335 (multiplicity 1)
Fe 0.0000 0.0000 0.5926 (multiplicity 1)

---

3.
Material: TaZn2Fe
Method: DFT, SCAN
State: single point on PBEsol structure

- V: 55.69 Å³/cell

a b c (Å): 2.7391 2.7391 7.4223
angles (deg): 90.00 90.00 90.00
Space group P4/mmm (No. 123)
One atom of each set of equivalent atoms:
Ta 0.0000 0.0000 0.0000 (multiplicity 1)
Zn 0.5000 0.5000 0.2728 (multiplicity 2)
Fe 0.0000 0.0000 0.5000 (multiplicity 1)

---

4.
Material: Ta2ZnFe
Method: DFT, SCAN
State: single point on PBEsol structure

- V: 118.00 Å³/cell

a b c (Å): 3.6302 4.2426 7.6614
angles (deg): 90.00 90.00 90.00
Space group Immm (No. 71)
One atom of each set of equivalent atoms:
Ta 0.0000 0.0000 0.2354 (multiplicity 4)
Zn 0.0000 0.5000 0.0000 (multiplicity 2)
Fe 0.0000 0.5000 0.5000 (multiplicity 2)

---

5.
Material: TaZn2Fe
Method: DFT, SCAN
State: single point on PBEsol structure

- V: 216.44 Å³/cell

a b c (Å): 6.0040 6.0040 6.0040
angles (deg): 90.00 90.00 90.00
Space group F-43m (No. 216)
One atom of each set of equivalent atoms:
Ta 0.0000 0.0000 0.0000 (multiplicity 4)
Zn 0.0000 0.0000 0.5000 (multiplicity 4)
Zn 0.2500 0.2500 0.2500 (multiplicity 4)
Fe 0.2500 0.2500 0.7500 (multiplicity 4)

---

6.
Material: TaZnFe
Method: DFT, SCAN
State: single point on PBEsol structure

- V: 84.33 Å³/cell

a b c (Å): 2.7031 2.7031 11.5417
angles (deg): 90.00 90.00 90.00
Space group I4mm (No. 107)
One atom of each set of equivalent atoms:
Ta 0.0000 0.0000 0.0000 (multiplicity 2)
Zn 0.0000 0.0000 0.6802 (multiplicity 2)
Fe 0.0000 0.0000 0.3280 (multiplicity 2)

---

7.
Material: TaZnFe2
Method: DFT, SCAN
State: single point on PBEsol structure

- V: 50.61 Å³/cell

a b c (Å): 2.6327 2.6327 7.3011
angles (deg): 90.00 90.00 90.00
Space group P4mm (No. 99)
One atom of each set of equivalent atoms:
Ta 0.0000 0.0000 0.0000 (multiplicity 1)
Zn 0.5000 0.5000 0.2956 (multiplicity 1)
Fe 0.0000 0.0000 0.5357 (multiplicity 1)
Fe 0.5000 0.5000 0.7217 (multiplicity 1)

---

8.
Material: Zr3TaFe
Method: DFT, SCAN
State: single point on PBEsol structure

- V: 103.18 Å³/cell

a b c (Å): 4.6903 4.6903 4.6903
angles (deg): 90.00 90.00 90.00
Space group Pm-3m (No. 221)
One atom of each set of equivalent atoms:
Zr 0.0000 0.0000 0.5000 (multiplicity 3)
Ta 0.5000 0.5000 0.5000 (multiplicity 1)
Fe 0.0000 0.0000 0.0000 (multiplicity 1)

---

9.
Material: Zr2TaFe
Method: DFT, SCAN
State: single point on PBEsol structure

- V: 70.66 Å³/cell

a b c (Å): 3.0950 3.0950 7.3760
angles (deg): 90.00 90.00 90.00
Space group P4mm (No. 99)
One atom of each set of equivalent atoms:
Zr 0.0000 0.0000 0.0000 (multiplicity 1)
Zr 0.5000 0.5000 0.3071 (multiplicity 1)
Ta 0.5000 0.5000 0.7216 (multiplicity 1)
Fe 0.0000 0.0000 0.5389 (multiplicity 1)

---

10.
Material: ZrTaFe
Method: DFT, SCAN
State: single point on PBEsol structure

- V: 97.31 Å³/cell

a b c (Å): 3.0980 3.0980 10.1391
angles (deg): 90.00 90.00 90.00
Space group I4mm (No. 107)
One atom of each set of equivalent atoms:
Zr 0.0000 0.0000 0.0000 (multiplicity 2)
Ta 0.0000 0.0000 0.6964 (multiplicity 2)
Fe 0.0000 0.0000 0.3331 (multiplicity 2)

---

11.
Material: TbFe2
Method: DFT, SCAN
State: single point on PBEsol structure

- V: 180.04 Å³/cell

a b c (Å): 5.0517 5.0517 8.1466
angles (deg): 90.00 90.00 120.00
Space group P6_3/mmc (No. 194)
One atom of each set of equivalent atoms:
Tb 0.3333 0.6667 0.0616 (multiplicity 4)
Fe 0.0000 0.0000 0.0000 (multiplicity 2)
Fe 0.1643 0.3285 0.7500 (multiplicity 6)

---

12.
Material: Tb2Fe17
Method: DFT, SCAN
State: single point on PBEsol structure

- V: 703.01 Å³/cell

a b c (Å): 8.1963 8.1963 12.0836
angles (deg): 90.00 90.00 120.00
Space group R-3m (No. 166, hexagonal axes)
One atom of each set of equivalent atoms:
Tb 0.0000 0.0000 0.1588 (multiplicity 6)
Fe 0.0000 0.0000 0.4051 (multiplicity 6)
Fe 0.0000 0.2951 0.5000 (multiplicity 18)
Fe 0.0000 0.5000 0.0000 (multiplicity 9)
Fe 0.0002 0.5001 0.3403 (multiplicity 18)

---

13.
Material: Tb2Fe17
Method: DFT, SCAN
State: single point on PBEsol structure

- V: 466.64 Å³/cell

a b c (Å): 8.1831 8.1831 8.0466
angles (deg): 90.00 90.00 120.00
Space group P6_3/mmc (No. 194)
One atom of each set of equivalent atoms:
Tb 0.0000 0.0000 0.2500 (multiplicity 2)
Tb 0.3333 0.6667 0.2500 (multiplicity 2)
Fe 0.0000 0.5000 0.0000 (multiplicity 6)
Fe 0.0420 0.3712 0.7500 (multiplicity 12)
Fe 0.1655 0.3309 0.0113 (multiplicity 12)
Fe 0.3333 0.6667 0.6085 (multiplicity 4)

---

14.
Material: TbZn20Fe2
Method: DFT, SCAN
State: single point on PBEsol structure

- V: 2610.51 Å³/cell

a b c (Å): 13.7692 13.7692 13.7692
angles (deg): 90.00 90.00 90.00
Space group Fd-3m (No. 227, origin choice 2)
One atom of each set of equivalent atoms:
Tb 0.1250 0.1250 0.1250 (multiplicity 8)
Zn 0.0000 0.0000 0.0000 (multiplicity 16)
Zn 0.0107 0.3750 0.8750 (multiplicity 48)
Zn 0.0586 0.0586 0.3268 (multiplicity 96)
Fe 0.0000 0.0000 0.5000 (multiplicity 16)

---

15.
Material: FeTc3
Method: DFT, SCAN
State: single point on PBEsol structure

- V: 51.98 Å³/cell

a b c (Å): 2.6702 4.2281 4.6045
angles (deg): 90.00 90.00 90.00
Space group Pmm2 (No. 25)
One atom of each set of equivalent atoms:
Fe 0.0000 0.0000 0.0000 (multiplicity 1)
Tc 0.0000 0.5000 0.3328 (multiplicity 1)
Tc 0.5000 0.0000 0.5086 (multiplicity 1)
Tc 0.5000 0.5000 0.8457 (multiplicity 1)

---

16.
Material: Fe3Tc
Method: DFT, SCAN
State: single point on PBEsol structure

- V: 43.57 Å³/cell

a b c (Å): 2.5263 3.9575 4.3578
angles (deg): 90.00 90.00 90.00
Space group Pmm2 (No. 25)
One atom of each set of equivalent atoms:
Fe 0.0000 0.0000 0.0000 (multiplicity 1)
Fe 0.0000 0.5000 0.3220 (multiplicity 1)
Fe 0.5000 0.0000 0.4681 (multiplicity 1)
Tc 0.5000 0.5000 0.8157 (multiplicity 1)

---

17.
Material: Fe3Tc
Method: DFT, SCAN
State: single point on PBEsol structure

- V: 47.08 Å³/cell

a b c (Å): 2.4800 4.0519 4.7607
angles (deg): 90.00 100.25 90.00
Space group P2/m (No. 10)
One atom of each set of equivalent atoms:
Fe 0.0000 0.0000 0.0000 (multiplicity 1)
Fe 0.2358 0.5000 0.7563 (multiplicity 2)
Tc 0.5000 0.0000 0.5000 (multiplicity 1)

---

18.
Material: Fe3Tc
Method: DFT, SCAN
State: single point on PBEsol structure

- V: 92.36 Å³/cell

a b c (Å): 4.5203 4.5203 4.5203
angles (deg): 90.00 90.00 90.00
Space group Pm-3n (No. 223)
One atom of each set of equivalent atoms:
Fe 0.0000 0.2500 0.5000 (multiplicity 6)
Tc 0.0000 0.0000 0.0000 (multiplicity 2)

---

19.
Material: FeTc3
Method: DFT, SCAN
State: single point on PBEsol structure

- V: 214.21 Å³/cell

a b c (Å): 5.9834 5.9834 5.9834
angles (deg): 90.00 90.00 90.00
Space group Fm-3m (No. 225)
One atom of each set of equivalent atoms:
Fe 0.0000 0.0000 0.0000 (multiplicity 4)
Tc 0.0000 0.0000 0.5000 (multiplicity 4)
Tc 0.2500 0.2500 0.2500 (multiplicity 8)

---

20.
Material: Fe3Tc
Method: DFT, SCAN
State: single point on PBEsol structure

- V: 186.87 Å³/cell

a b c (Å): 5.7172 5.7172 5.7172
angles (deg): 90.00 90.00 90.00
Space group Fm-3m (No. 225)
One atom of each set of equivalent atoms:
Fe 0.0000 0.0000 0.0000 (multiplicity 4)
Fe 0.2500 0.2500 0.2500 (multiplicity 8)
Tc 0.0000 0.0000 0.5000 (multiplicity 4)

---

no.,formation energy from the elements (meV/atom),ρ (g cm⁻³)
1,376,11.23
2,121,8.12
3,-24,10.96
4,13,13.60
5,-2,11.28
6,58,11.90
7,207,11.75
8,577,8.22
9,-30,9.85
10,-64,11.19
11,5,9.98
12,33,8.98
13,37,9.02
14,-130,8.03
15,146,11.18
16,251,10.12
17,11,9.37
18,124,9.55
19,99,10.85
20,29,9.44